1.
A relaxed BaAgTeO4 crystal, computed with GGA-PBE.

a = 6.6377 Å, b = 6.6377 Å, c = 6.6377 Å
α = 60.00°, β = 60.00°, γ = 60.00°
Sites, in units of the cell vectors:
O 0.3662 0.3662 0.3662
O 0.3662 0.9013 0.3662
O 0.3662 0.3662 0.9013
O 0.9013 0.3662 0.3662
Ag 0.5000 0.5000 0.5000
Te 0.2500 0.2500 0.2500
Ba 0.7500 0.7500 0.7500

Values from the calculation:
DOS(E_F) (states/eV/cell): 1.366
Energy (eV/atom): -4.7924
Density (g/cm3): 3.51


2.
A relaxed Ba3AgTe2O9 crystal, computed with GGA-PBE.

a = 6.0246 Å, b = 6.0246 Å, c = 7.4718 Å
α = 90.00°, β = 90.00°, γ = 120.00°
Sites, in units of the cell vectors:
O 0.8223 0.1777 0.6904
O 0.5000 0.5000 0.0000
O 0.6447 0.8223 0.3096
O 0.1777 0.3553 0.3096
O 0.3553 0.1777 0.6904
O 0.8223 0.6447 0.6904
O 0.1777 0.8223 0.3096
O 0.5000 0.0000 0.0000
O 0.0000 0.5000 0.0000
Te 0.3333 0.6667 0.1686
Te 0.6667 0.3333 0.8314
Ba 0.3333 0.6667 0.6613
Ba 0.6667 0.3333 0.3387
Ba 0.0000 0.0000 0.0000
Ag 0.0000 0.0000 0.5000

Values from the calculation:
DOS(E_F) (states/eV/cell): 1.143
Energy (eV/atom): -5.7252
Density (g/cm3): 6.50


3.
A relaxed Ba3AgTe2O8 crystal, computed with GGA-PBE.

a = 6.1036 Å, b = 6.1036 Å, c = 8.1255 Å
α = 90.00°, β = 90.00°, γ = 120.00°
Sites, in units of the cell vectors:
Ba 0.3333 0.6667 0.6337
Ba 0.0000 0.0000 0.0000
Ba 0.6667 0.3333 0.3663
O 0.1701 0.8299 0.3062
O 0.6667 0.3333 0.0630
O 0.6598 0.8299 0.3062
O 0.8299 0.6598 0.6938
O 0.3333 0.6667 0.9370
O 0.1701 0.3402 0.3062
O 0.8299 0.1701 0.6938
O 0.3402 0.1701 0.6938
Te 0.3333 0.6667 0.1882
Te 0.6667 0.3333 0.8118
Ag 0.0000 0.0000 0.5000

Values from the calculation:
DOS(E_F) (states/eV/cell): 4.408
Energy (eV/atom): -5.4510
Density (g/cm3): 5.72


4.
A relaxed Ba2ThAg2O6 crystal, computed with GGA-PBE.

a = 6.5001 Å, b = 6.5001 Å, c = 7.0081 Å
α = 62.37°, β = 62.37°, γ = 60.00°
Sites, in units of the cell vectors:
Ba 0.2090 0.2090 0.3731
Ba 0.7910 0.7910 0.6269
O 0.7951 0.2348 0.7353
O 0.7652 0.7652 0.2647
O 0.2348 0.7951 0.7353
O 0.2348 0.2348 0.7353
O 0.2049 0.7652 0.2647
O 0.7652 0.2049 0.2647
Th 0.0000 0.0000 0.0000
Ag 0.5810 0.5810 0.2569
Ag 0.4190 0.4190 0.7431

Values from the calculation:
DOS(E_F) (states/eV/cell): 10.445
Energy (eV/atom): -6.0692
Density (g/cm3): 6.28


5.
A relaxed Ba2TlAg3O6 crystal, computed with GGA-PBE.

a = 4.1301 Å, b = 4.1301 Å, c = 12.6776 Å
α = 90.00°, β = 90.00°, γ = 90.00°
Sites, in units of the cell vectors:
Ag 0.0000 0.0000 0.3637
Ag 0.0000 0.0000 0.6363
Ag 0.0000 0.0000 0.0000
O 0.5000 0.0000 0.6182
O 0.5000 0.0000 0.3818
O 0.0000 0.0000 0.1621
O 0.0000 0.0000 0.8379
O 0.0000 0.5000 0.6182
O 0.0000 0.5000 0.3818
Ba 0.5000 0.5000 0.7964
Ba 0.5000 0.5000 0.2036
Tl 0.5000 0.5000 0.5000

Values from the calculation:
DOS(E_F) (states/eV/cell): 2.447
Energy (eV/atom): -4.6634
Density (g/cm3): 6.90


6.
A relaxed Ba3TlAg2O6 crystal, computed with GGA-PBE.

a = 6.3018 Å, b = 6.3018 Å, c = 6.8312 Å
α = 90.00°, β = 90.00°, γ = 120.00°
Sites, in units of the cell vectors:
Ba 0.3333 0.6667 0.6120
Ba 0.6667 0.3333 0.3880
Ba 0.0000 0.0000 0.0000
O 0.3338 0.1669 0.6949
O 0.6662 0.8331 0.3051
O 0.8331 0.1669 0.6949
O 0.8331 0.6662 0.6949
O 0.1669 0.3338 0.3051
O 0.1669 0.8331 0.3051
Ag 0.6667 0.3333 0.8741
Ag 0.3333 0.6667 0.1259
Tl 0.0000 0.0000 0.5000

Values from the calculation:
DOS(E_F) (states/eV/cell): 5.138
Energy (eV/atom): -4.8853
Density (g/cm3): 6.56


7.
A relaxed Ba2TlAgO4 crystal, computed with GGA-PBE.

a = 6.0305 Å, b = 6.0305 Å, c = 6.0305 Å
α = 95.53°, β = 116.86°, γ = 116.86°
Sites, in units of the cell vectors:
O 0.5244 0.3654 0.4213
O 0.4756 0.8970 0.8411
O 0.0559 0.1589 0.6346
O 0.9441 0.5787 0.1030
Ag 0.0000 0.5000 0.5000
Ba 0.0000 0.0000 0.0000
Ba 0.5000 0.7500 0.2500
Tl 0.5000 0.2500 0.7500

Values from the calculation:
Energy (eV/atom): -5.0169
Density (g/cm3): 6.69


8.
A relaxed Ba2TlAgO5 crystal, computed with GGA-PBE.

a = 3.6666 Å, b = 7.4502 Å, c = 11.7094 Å
α = 90.00°, β = 90.00°, γ = 104.25°
Sites, in units of the cell vectors:
O 0.3334 0.6668 0.3935
O 0.0590 0.1181 0.0599
O 0.6196 0.2392 0.4921
O 0.4821 0.9641 0.7773
O 0.3804 0.7608 0.9921
O 0.6666 0.3332 0.8935
O 0.2708 0.5416 0.6452
O 0.7292 0.4584 0.1452
O 0.5179 0.0359 0.2773
O 0.9410 0.8819 0.5599
Ba 0.1478 0.2956 0.3048
Ba 0.0922 0.1844 0.6804
Ba 0.8522 0.7044 0.8048
Ba 0.9078 0.8156 0.1804
Tl 0.2093 0.4186 0.0233
Tl 0.7907 0.5814 0.5233
Ag 0.5245 0.0491 0.9474
Ag 0.4755 0.9509 0.4474

Values from the calculation:
DOS(E_F) (states/eV/cell): 5.314
Energy (eV/atom): -5.0527
Density (g/cm3): 7.14